A.
! B5C7 (PBE-GGA, relaxed); values from VASP
&SYSTEM
  ibrav = 0, nat = 12, ntyp = 2
/
ATOMIC_SPECIES
C 12.01 C.upf
B 10.81 B.upf
ATOMIC_POSITIONS crystal
C 0.586 0.586 0.550
B 0.664 0.664 0.329
B 0.994 0.994 0.993
C 0.657 0.657 0.822
B 0.995 0.995 0.497
C 0.257 0.257 0.393
B 0.232 0.232 0.804
B 0.354 0.354 0.234
C 0.339 0.339 0.667
C 0.917 0.917 0.207
C 0.911 0.911 0.715
C 0.593 0.593 0.039
CELL_PARAMETERS angstrom
-1.895 -4.062 -4.198
0.388 -3.317 -5.154
2.494 -3.171 3.485
! Space-group type ... Cm
! Crystal system ... monoclinic

=====

B.
! B5C7 (PBE-GGA, relaxed); values from VASP
&SYSTEM
  ibrav = 0, nat = 12, ntyp = 2
/
ATOMIC_SPECIES
C 12.01 C.upf
B 10.81 B.upf
ATOMIC_POSITIONS crystal
C 0.283 0.725 0.750
B 0.291 0.326 0.118
C 0.928 0.441 0.588
B 0.577 0.112 0.408
C 0.570 0.071 0.897
C 0.885 0.422 0.079
C 0.675 0.674 0.334
C 0.663 0.668 0.831
C 0.347 0.340 0.674
B 0.000 0.044 0.546
B 0.310 0.677 0.288
B 0.971 0.999 0.987
CELL_PARAMETERS angstrom
-3.303 -1.007 -2.964
-0.187 -2.973 -3.317
-1.334 -3.017 4.091
! Space-group type ... P1
! Crystal system ... triclinic

=====

The most stable arrangement is A, and the next structure is 64 meV/atom less stable.

=====

A.
! TlTeP2 (PBE-GGA, relaxed); values from VASP
&SYSTEM
  ibrav = 0, nat = 4, ntyp = 3
/
ATOMIC_SPECIES
P 30.97 P.upf
Tl 204.38 Tl.upf
Te 127.60 Te.upf
ATOMIC_POSITIONS crystal
P 0.000 0.489 0.484
Tl 0.500 0.750 0.750
Te 0.500 0.250 0.250
P 0.000 0.011 0.016
CELL_PARAMETERS angstrom
-1.323 -1.473 3.452
-1.433 -2.106 -1.448
8.123 -2.756 1.937
! Space-group type ... P2/m
! Crystal system ... monoclinic

=====

B.
! TlTeP2 (PBE-GGA, relaxed); values from VASP
&SYSTEM
  ibrav = 0, nat = 4, ntyp = 3
/
ATOMIC_SPECIES
P 30.97 P.upf
Tl 204.38 Tl.upf
Te 127.60 Te.upf
ATOMIC_POSITIONS crystal
P 0.000 0.000 0.000
P 0.500 0.500 0.000
Tl 0.000 0.500 0.500
Te 0.500 0.000 0.500
CELL_PARAMETERS angstrom
3.823 0.000 0.000
0.000 7.492 0.000
0.000 0.000 3.806
! Space-group type ... Pmmm
! Crystal system ... orthorhombic

=====

The most stable arrangement is A, and the next structure is 163 meV/atom less stable.

=====

A.
! NiAgAs2 (PBE-GGA, relaxed); values from VASP
&SYSTEM
  ibrav = 0, nat = 4, ntyp = 3
/
ATOMIC_SPECIES
Ni 58.69 Ni.upf
As 74.92 As.upf
Ag 107.87 Ag.upf
ATOMIC_POSITIONS crystal
Ni 0.000 0.000 0.000
As 0.750 0.750 0.750
As 0.250 0.250 0.250
Ag 0.500 0.500 0.500
CELL_PARAMETERS angstrom
0.000 3.207 3.207
3.207 0.000 3.207
3.207 3.207 0.000
! Space-group type ... Fm-3m
! Crystal system ... cubic

=====

B.
! NiAgAs2 (PBE-GGA, relaxed); values from VASP
&SYSTEM
  ibrav = 0, nat = 4, ntyp = 3
/
ATOMIC_SPECIES
As 74.92 As.upf
Ni 58.69 Ni.upf
Ag 107.87 Ag.upf
ATOMIC_POSITIONS crystal
As 0.018 0.018 0.933
Ni 0.750 0.750 0.750
As 0.482 0.482 0.567
Ag 0.250 0.250 0.250
CELL_PARAMETERS angstrom
-3.143 1.614 -1.660
-3.231 1.266 1.788
0.904 5.980 0.626
! Space-group type ... C2/m
! Crystal system ... monoclinic

=====

The most stable arrangement is B, and the next structure is 181 meV/atom less stable.